1.
Density functional theory data (PBE) for an optimized crystal structure of FePH3.

The offset from the most stable computed form comes out at 0 kJ/mol of formula units. As for the energy: -4.230 eV per atom. The value obtained for the density of states at the Fermi level is 0.691 states/eV per cell.

The space group is Pm-3m (No. 221) and the conventional cell measures 3.268, 3.268 and 3.268 Å, with angles of 90.00, 90.00 and 90.00 degrees. The distinct sites, in fractional coordinates, are Fe at (0.000, 0.000, 0.000), P at (0.500, 0.500, 0.500) and H at (0.000, 0.000, 0.500).



2.
Density functional theory data (PBE) for an optimized crystal structure of La6AlTl5.

As for the energy: -4.169 eV per atom. The value obtained for the formation energy is -0.41 eV per atom. The value obtained for the density of states at the Fermi level is 20.497 states/eV per cell.

The space group is C2/m (No. 12) and the conventional cell measures 17.742, 7.867 and 5.613 Å, with angles of 90.00, 108.39 and 90.00 degrees. The distinct sites, in fractional coordinates, are La at (0.000, 0.239, 0.000), La at (0.162, 0.244, 0.663), Al at (0.000, 0.000, 0.500), Tl at (0.000, 0.500, 0.500), Tl at (0.165, 0.500, 0.165) and Tl at (0.173, 0.000, 0.173).



3.
Density functional theory data (PBE) for an optimized crystal structure of Pm3Zn4Sn4.

As for the energy: -3.660 eV per atom. The value obtained for the formation energy is -0.45 eV per atom. The value obtained for the density of states at the Fermi level is 7.157 states/eV per cell.

The space group is Immm (No. 71) and the conventional cell measures 4.262, 4.542 and 27.143 Å, with angles of 90.00, 90.00 and 90.00 degrees. The distinct sites, in fractional coordinates, are Pm at (0.000, 0.000, 0.000), Pm at (0.000, 0.500, 0.145), Zn at (0.000, 0.000, 0.253), Zn at (0.000, 0.500, 0.405), Sn at (0.000, 0.000, 0.449) and Sn at (0.000, 0.500, 0.309).



4.
Density functional theory data (PBE) for an optimized crystal structure of BeAlIn.

As for the energy: -3.225 eV per atom. The value obtained for the formation energy is 0.18 eV per atom. The value obtained for the density of states at the Fermi level is 1.825 states/eV per cell.

The space group is Pm (No. 6) and the conventional cell measures 3.923, 4.476 and 6.438 Å, with angles of 90.00, 107.62 and 90.00 degrees. The distinct sites, in fractional coordinates, are Be at (0.000, 0.250, 0.000), Al at (0.429, 0.000, 0.856), Al at (0.571, 0.500, 0.143), In at (0.192, 0.000, 0.388) and In at (0.803, 0.500, 0.612).